[1]
{"formula": "Sn2SeCl", "functional": "PBE", "state": "relaxed", "lattice": [[-4.002, 4.002, 3.499], [4.002, -4.002, 3.499], [4.002, 4.002, -3.499]], "species": ["Sn", "Sn", "Sn", "Sn", "Se", "Se", "Cl", "Cl"], "fractional_positions": [[0.109, 0.625, 0.984], [0.375, 0.359, 0.484], [0.641, 0.125, 0.016], [0.875, 0.891, 0.516], [0.000, 0.000, 0.000], [0.750, 0.250, 0.500], [0.250, 0.750, 0.500], [0.500, 0.500, 0.000]], "formation_energy_uncorrected_ev_per_atom": -0.36, "volume_a3_per_cell": 224.18, "polymorph_energy_ev_per_atom": 0.063, "magnetic_moment_mub_per_fu": 0.0}



[2]
{"formula": "SnSe2Cl", "functional": "PBE", "state": "relaxed", "lattice": [[2.019, 1.166, 8.285], [-2.019, 1.166, 8.285], [0.000, -2.331, 8.285]], "species": ["Sn", "Se", "Se", "Cl"], "fractional_positions": [[0.000, 0.000, 0.000], [0.398, 0.398, 0.398], [0.602, 0.602, 0.602], [0.500, 0.500, 0.500]], "formation_energy_uncorrected_ev_per_atom": -0.20, "volume_a3_per_cell": 116.99, "polymorph_energy_ev_per_atom": 0.000, "magnetic_moment_mub_per_fu": 0.0}



[3]
{"formula": "Sn4Se4Cl", "functional": "PBE", "state": "relaxed", "lattice": [[-4.727, 4.727, 2.955], [4.727, -4.727, 2.955], [4.727, 4.727, -2.955]], "species": ["Sn", "Sn", "Sn", "Sn", "Se", "Se", "Se", "Se", "Cl"], "fractional_positions": [[0.090, 0.309, 0.399], [0.309, 0.910, 0.219], [0.691, 0.090, 0.781], [0.910, 0.691, 0.601], [0.195, 0.595, 0.790], [0.405, 0.195, 0.601], [0.595, 0.805, 0.399], [0.805, 0.405, 0.210], [0.000, 0.000, 0.000]], "formation_energy_uncorrected_ev_per_atom": -0.49, "volume_a3_per_cell": 264.09, "magnetic_moment_mub_per_fu": 0.0}